## Al2FeHgO (GGA+U)

Data for a geometry-optimized Al2FeHgO structure.

Properties
Calculated volume ... 74.6 Å³/cell
Calculated total energy ... -19.2 eV per cell
Size of the total moment ... 2.8 μB/cell

```
Al2FeHgO
1.0
4.1287 0.0000 0.0000
0.0000 4.3761 0.0000
0.0000 0.0000 4.1287
Fe O Al Hg
1 1 2 1
Cartesian
0.0000 2.1880 0.0000 Fe
0.0000 0.0000 0.0000 O
2.0644 0.0000 0.0000 Al
0.0000 0.0000 2.0644 Al
2.0644 2.1880 2.0644 Hg
```